Entry 1:
The following is a DFT calculation (PBE) of Zn2SiRu2 after structural relaxation.

Values from the calculation:
As for the symmetry: P4/mbm. The calculation puts the theoretical density at 8.0 g/cm3. As for the energy: -5.53 eV per atom. As for the energy relative to the elements, uncorrected: -0.221 eV per atom.

Lattice parameters (Å, degrees): 6.1264 6.1264 3.9850 90.00 90.00 90.00
With the nearest neighbours (Å) after each atom.
Fractional coordinates of all 10 atoms:
Zn1 0.1555 0.3445 0.0000  6 Ru 2.61-2.73, 1 Zn 2.69
Zn2 0.3445 0.8445 0.0000  6 Ru 2.61-2.73, 1 Zn 2.69
Zn3 0.6555 0.1555 0.0000  6 Ru 2.61-2.73, 1 Zn 2.69
Zn4 0.8445 0.6555 0.0000  6 Ru 2.61-2.73, 1 Zn 2.69
Si1 0.0000 0.0000 0.5000  4 Ru 2.33
Si2 0.5000 0.5000 0.5000  4 Ru 2.33
Ru1 0.1500 0.6500 0.5000  2 Si 2.33, 1 Ru 2.60, 2 Zn 2.61
Ru2 0.3500 0.1500 0.5000  2 Si 2.33, 1 Ru 2.60, 2 Zn 2.61
Ru3 0.6500 0.8500 0.5000  2 Si 2.33, 1 Ru 2.60, 2 Zn 2.61
Ru4 0.8500 0.3500 0.5000  2 Si 2.33, 1 Ru 2.60, 2 Zn 2.61

---

Entry 2:
The following is a DFT calculation (PBE) of Pu2NpZn after structural relaxation.

Values from the calculation:
As for the symmetry: P4/mmm. The value obtained for the formation energy is 0.265 eV/atom. The calculation puts the theoretical density at 14.0 g/cm3. As for the energy: -10.45 eV per atom. As for the offset from the most stable computed form: 0.086 eV/atom.

Lattice parameters (Å, degrees): 4.5896 4.5896 4.4354 90.00 90.00 90.00
With the nearest neighbours (Å) after each atom.
Fractional coordinates of all 4 atoms:
Pu1 0.0000 0.5000 0.0000  4 Np 3.19, 4 Zn 3.19, 4 Pu 3.25
Pu2 0.5000 0.0000 0.0000  4 Np 3.19, 4 Zn 3.19, 4 Pu 3.25
Np1 0.0000 0.0000 0.5000  8 Pu 3.19, 4 Zn 3.25
Zn1 0.5000 0.5000 0.5000  8 Pu 3.19, 4 Np 3.25

---

Entry 3:
The following is a DFT calculation (PBE) of Li2PmSc after structural relaxation.

Values from the calculation:
As for the symmetry: R-3m. The value obtained for the formation energy is 0.319 eV/atom. The calculation puts the theoretical density at 3.2 g/cm3. As for the energy: -3.41 eV per atom. As for the offset from the most stable computed form: 0.133 eV/atom.

Lattice parameters (Å, degrees): 3.2350 3.2350 35.0428 90.00 90.00 120.00
With the nearest neighbours (Å) after each atom.
Fractional coordinates of all 12 atoms:
Li1 0.0000 0.0000 0.0849  1 Sc 2.98, 6 Li 3.23
Li2 0.0000 0.0000 0.9151  1 Sc 2.98, 6 Li 3.23
Li3 0.3333 0.6667 0.5817  1 Sc 2.98, 6 Li 3.23
Li4 0.3333 0.6667 0.7516  1 Sc 2.98, 6 Li 3.23
Li5 0.6667 0.3333 0.2484  1 Sc 2.98, 6 Li 3.23
Li6 0.6667 0.3333 0.4183  1 Sc 2.98, 6 Li 3.23
Pm1 0.0000 0.0000 0.5000  6 Pm 3.23, 6 Li 3.42
Pm2 0.3333 0.6667 0.1667  6 Pm 3.23, 6 Li 3.42
Pm3 0.6667 0.3333 0.8333  6 Pm 3.23, 6 Li 3.42
Sc1 0.0000 0.0000 0.0000  2 Li 2.98, 6 Sc 3.23
Sc2 0.3333 0.6667 0.6667  2 Li 2.98, 6 Sc 3.23
Sc3 0.6667 0.3333 0.3333  2 Li 2.98, 6 Sc 3.23

---

Entry 4:
The following is a DFT calculation (PBE) of SbIrPt2I after structural relaxation.

Values from the calculation:
As for the symmetry: P4/mmm. The calculation puts the theoretical density at 10.9 g/cm3. As for the energy: -4.39 eV per atom. As for the energy relative to the elements, uncorrected: 0.930 eV per atom.

Lattice parameters (Å, degrees): 5.0593 5.0593 4.9362 90.00 90.00 90.00
With the nearest neighbours (Å) after each atom.
Fractional coordinates of all 5 atoms:
Sb1 0.0000 0.0000 0.0000  2 Ir 2.47
Ir1 0.0000 0.0000 0.5000  2 Sb 2.47, 4 Pt 2.53
Pt1 0.0000 0.5000 0.5000  2 Ir 2.53
Pt2 0.5000 0.0000 0.5000  2 Ir 2.53
I1 0.5000 0.5000 0.0000  8 Pt 3.53, 4 Sb 3.58

---

Entry 5:
The following is a DFT calculation (PBE) of NaPmNdGe after structural relaxation.

Values from the calculation:
As for the symmetry: F-43m. The value obtained for the formation energy is -0.264 eV/atom. The calculation puts the theoretical density at 6.1 g/cm3. As for the energy: -4.13 eV per atom.

Lattice parameters (Å, degrees): 7.4778 7.4778 7.4778 90.00 90.00 90.00
With the nearest neighbours (Å) after each atom.
Fractional coordinates of all 16 atoms:
Na1 0.0000 0.0000 0.0000  4 Nd 3.24, 4 Pm 3.24
Na2 0.0000 0.5000 0.5000  4 Nd 3.24, 4 Pm 3.24
Na3 0.5000 0.0000 0.5000  4 Nd 3.24, 4 Pm 3.24
Na4 0.5000 0.5000 0.0000  4 Nd 3.24, 4 Pm 3.24
Pm1 0.2500 0.2500 0.7500  4 Ge 3.24, 4 Na 3.24
Pm2 0.2500 0.7500 0.2500  4 Ge 3.24, 4 Na 3.24
Pm3 0.7500 0.2500 0.2500  4 Ge 3.24, 4 Na 3.24
Pm4 0.7500 0.7500 0.7500  4 Ge 3.24, 4 Na 3.24
Nd1 0.2500 0.2500 0.2500  4 Ge 3.24, 4 Na 3.24
Nd2 0.2500 0.7500 0.7500  4 Ge 3.24, 4 Na 3.24
Nd3 0.7500 0.2500 0.7500  4 Ge 3.24, 4 Na 3.24
Nd4 0.7500 0.7500 0.2500  4 Ge 3.24, 4 Na 3.24
Ge1 0.0000 0.0000 0.5000  4 Pm 3.24, 4 Nd 3.24
Ge2 0.0000 0.5000 0.0000  4 Pm 3.24, 4 Nd 3.24
Ge3 0.5000 0.0000 0.0000  4 Pm 3.24, 4 Nd 3.24
Ge4 0.5000 0.5000 0.5000  4 Pm 3.24, 4 Nd 3.24

---

Entry 6:
The following is a DFT calculation (PBE) of SrTiPIr2 after structural relaxation.

Values from the calculation:
As for the symmetry: P4/mmm. The value obtained for the formation energy is -0.083 eV/atom. The calculation puts the theoretical density at 9.4 g/cm3. As for the energy: -6.63 eV per atom. As for the offset from the most stable computed form: 0.000 eV/atom.

Lattice parameters (Å, degrees): 4.5870 4.5870 4.6119 90.00 90.00 90.00
With the nearest neighbours (Å) after each atom.
Fractional coordinates of all 5 atoms:
Sr1 0.0000 0.0000 0.0000  4 Ti 3.24, 8 Ir 3.25
Ti1 0.5000 0.5000 0.0000  2 P 2.31
P1 0.5000 0.5000 0.5000  4 Ir 2.29, 2 Ti 2.31
Ir1 0.0000 0.5000 0.5000  2 P 2.29
Ir2 0.5000 0.0000 0.5000  2 P 2.29

---

Entry 7:
The following is a DFT calculation (PBE) of PmTa2MnN4 after structural relaxation.

Values from the calculation:
As for the symmetry: Cmcm. The calculation puts the theoretical density at 11.1 g/cm3. As for the energy: -9.88 eV per atom. As for the energy relative to the elements, uncorrected: -1.017 eV per atom.

Lattice parameters (Å, degrees): 5.6928 5.6928 10.8752 90.00 90.00 148.30
With the nearest neighbours (Å) after each atom.
Fractional coordinates of all 16 atoms:
Pm1 0.1086 0.8914 0.7500  6 N 2.36-2.55
Pm2 0.8914 0.1086 0.2500  6 N 2.36-2.55
Ta1 0.3690 0.6310 0.5573  6 N 2.12-2.26
Ta2 0.3690 0.6310 0.9427  6 N 2.12-2.26
Ta3 0.6310 0.3690 0.0573  6 N 2.12-2.26
Ta4 0.6310 0.3690 0.4427  6 N 2.12-2.26
Mn1 0.1572 0.8428 0.2500  4 N 1.92-1.96
Mn2 0.8428 0.1572 0.7500  4 N 1.92-1.96
N1 0.0000 0.0000 0.0000  4 Ta 2.21
N2 0.0000 0.0000 0.5000  4 Ta 2.21
N3 0.2702 0.7298 0.1101  1 Mn 1.96, 1 Ta 2.12
N4 0.2702 0.7298 0.3899  1 Mn 1.96, 1 Ta 2.12
N5 0.4459 0.5541 0.7500  2 Mn 1.92
N6 0.5541 0.4459 0.2500  2 Mn 1.92
N7 0.7298 0.2702 0.6101  1 Mn 1.96, 1 Ta 2.12
N8 0.7298 0.2702 0.8899  1 Mn 1.96, 1 Ta 2.12

---

Entry 8:
The following is a DFT calculation (PBE) of KTe2Rh after structural relaxation.

Values from the calculation:
As for the symmetry: Cmmm. The calculation puts the theoretical density at 6.7 g/cm3. As for the energy: -3.61 eV per atom. As for the energy relative to the elements, uncorrected: 0.069 eV per atom.

Lattice parameters (Å, degrees): 7.7817 7.7969 3.2315 90.00 90.00 90.00
With the nearest neighbours (Å) after each atom.
Fractional coordinates of all 8 atoms:
K1 0.0000 0.0000 0.0000  8 Te 3.19, 2 K 3.23
K2 0.5000 0.5000 0.0000  8 Te 3.19, 2 K 3.23
Te1 0.2500 0.2500 0.5000  4 K 3.19, 4 Rh 3.19, 2 Te 3.23
Te2 0.2500 0.7500 0.5000  4 K 3.19, 4 Rh 3.19, 2 Te 3.23
Te3 0.7500 0.2500 0.5000  4 K 3.19, 4 Rh 3.19, 2 Te 3.23
Te4 0.7500 0.7500 0.5000  4 K 3.19, 4 Rh 3.19, 2 Te 3.23
Rh1 0.0000 0.5000 0.0000  8 Te 3.19, 2 Rh 3.23
Rh2 0.5000 0.0000 0.0000  8 Te 3.19, 2 Rh 3.23

---

Entry 9:
The following is a DFT calculation (PBE) of ZrSnBS2 after structural relaxation.

Values from the calculation:
As for the symmetry: P4/mmm. The calculation puts the theoretical density at 4.1 g/cm3. As for the energy: -5.37 eV per atom. As for the energy relative to the elements, uncorrected: 0.128 eV per atom.

Lattice parameters (Å, degrees): 5.0005 5.0005 4.5920 90.00 90.00 90.00
With the nearest neighbours (Å) after each atom.
Fractional coordinates of all 5 atoms:
Zr1 0.0000 0.0000 0.0000  2 B 2.30, 4 S 2.50
Sn1 0.5000 0.5000 0.5000  8 S 3.39, 4 B 3.54
B1 0.0000 0.0000 0.5000  2 Zr 2.30
S1 0.0000 0.5000 0.0000  2 Zr 2.50
S2 0.5000 0.0000 0.0000  2 Zr 2.50

---

Entry 10:
The following is a DFT calculation (PBE) of NdDyAlGe after structural relaxation.

Values from the calculation:
As for the symmetry: Amm2. The value obtained for the formation energy is -0.672 eV/atom. The calculation puts the theoretical density at 6.7 g/cm3. As for the energy: -5.10 eV per atom.

Lattice parameters (Å, degrees): 4.0800 4.4567 11.0766 90.00 90.00 90.00
With the nearest neighbours (Å) after each atom.
Fractional coordinates of all 8 atoms:
Nd1 0.0000 0.0000 0.0000  4 Ge 3.11, 3 Al 3.15-3.27
Nd2 0.0000 0.5000 0.5000  4 Ge 3.11, 3 Al 3.15-3.27
Dy1 0.5000 0.0000 0.2818  4 Al 3.11, 3 Ge 3.16-3.26
Dy2 0.5000 0.5000 0.7818  4 Al 3.11, 3 Ge 3.16-3.26
Al1 0.0000 0.0000 0.7160  2 Ge 2.63
Al2 0.0000 0.5000 0.2160  2 Ge 2.63
Ge1 0.5000 0.0000 0.5667  2 Al 2.63
Ge2 0.5000 0.5000 0.0667  2 Al 2.63